Material: TlInGa
Method: DFT, PBE
State: relaxed

POSCAR file:
```
TlInGa
1.0
-2.199 -1.098 2.417
1.956 -4.526 -0.277
4.985 1.679 7.758
Tl In Ga
2 2 2
Direct
0.795 0.416 0.695 Tl
0.379 0.916 0.504 Tl
0.986 0.415 0.300 In
0.191 0.915 0.899 In
0.628 0.414 0.026 Ga
0.546 0.915 0.173 Ga
```

## Properties
SG: P1, No. 1
E above lowest polymorph (eV/f.u.): 0.080
ΔE_f (eV/atom): 0.045


Material: Tl2In2Ga3
Method: DFT, PBE
State: relaxed

POSCAR file:
```
Tl2In2Ga3
1.0
-1.653 -3.700 2.616
0.924 0.954 6.381
-5.608 1.989 3.718
Tl In Ga
2 2 3
Direct
0.156 0.482 0.207 Tl
0.844 0.518 0.793 Tl
0.154 0.965 0.727 In
0.846 0.035 0.273 In
0.500 0.000 0.000 Ga
0.425 0.729 0.421 Ga
0.575 0.271 0.579 Ga
```

## Properties
SG: C2/m, No. 12
ΔE_f (eV/atom): 0.045


Material: Tl2In2Ga
Method: DFT, PBE
State: relaxed

POSCAR file:
```
Tl2In2Ga
1.0
7.482 0.000 0.000
0.000 7.482 0.000
0.000 0.000 5.107
Tl Ga In
4 2 4
Direct
0.169 0.669 0.500 Tl
0.669 0.831 0.500 Tl
0.831 0.331 0.500 Tl
0.331 0.169 0.500 Tl
0.000 0.000 0.000 Ga
0.500 0.500 0.000 Ga
0.356 0.856 0.000 In
0.856 0.644 0.000 In
0.644 0.144 0.000 In
0.144 0.356 0.000 In
```

## Properties
SG: P4/mbm, No. 127
E above lowest polymorph (eV/f.u.): 0.172
ΔE_f (eV/atom): 0.075


Material: TlIn3Ga3
Method: DFT, PBE
State: relaxed

POSCAR file:
```
TlIn3Ga3
1.0
-5.617 -2.876 -3.023
-4.754 -3.334 3.905
-7.600 4.989 1.277
Tl In Ga
2 6 6
Direct
0.664 0.664 0.007 Tl
0.336 0.336 0.993 Tl
0.283 0.443 0.368 In
0.905 0.283 0.368 In
0.443 0.905 0.368 In
0.557 0.095 0.632 In
0.095 0.717 0.632 In
0.717 0.557 0.632 In
0.273 0.823 0.839 Ga
0.823 0.065 0.839 Ga
0.065 0.273 0.839 Ga
0.935 0.727 0.161 Ga
0.177 0.935 0.161 Ga
0.727 0.177 0.161 Ga
```

## Properties
SG: R-3, No. 148
E above lowest polymorph (eV/f.u.): 0.000
ΔE_f (eV/atom): 0.056


Material: TlIn12Ga7
Method: DFT, PBE
State: relaxed

POSCAR file:
```
TlIn12Ga7
1.0
7.708 0.002 2.465
-3.849 7.285 3.185
0.007 0.002 8.832
Tl In Ga
1 12 7
Direct
0.000 0.000 0.000 Tl
0.832 0.569 0.070 In
0.098 0.930 0.639 In
0.374 0.289 0.202 In
0.424 0.798 0.492 In
0.737 0.639 0.431 In
0.916 0.492 0.710 In
0.084 0.508 0.290 In
0.263 0.361 0.569 In
0.576 0.202 0.508 In
0.626 0.711 0.798 In
0.902 0.070 0.361 In
0.168 0.431 0.930 In
0.704 0.182 0.129 Ga
0.167 0.871 0.311 Ga
0.478 0.311 0.818 Ga
0.500 0.000 0.000 Ga
0.522 0.689 0.182 Ga
0.833 0.129 0.689 Ga
0.296 0.818 0.871 Ga
```

## Properties
SG: R-3, No. 148
ΔE_f (eV/atom): 0.038


Material: Tl5In6Ga
Method: DFT, PBE
State: relaxed

POSCAR file:
```
Tl5In6Ga
1.0
-2.360 -1.858 4.930
-1.583 -5.877 -4.893
7.158 -3.104 0.337
Tl Ga In
5 1 6
Direct
0.500 0.162 0.838 Tl
0.000 0.330 0.670 Tl
0.500 0.500 0.500 Tl
0.000 0.670 0.330 Tl
0.500 0.838 0.162 Tl
0.000 0.000 0.000 Ga
0.249 0.081 0.404 In
0.751 0.596 0.919 In
0.761 0.249 0.249 In
0.239 0.751 0.751 In
0.249 0.404 0.081 In
0.751 0.919 0.596 In
```

## Properties
SG: C2/m, No. 12
ΔE_f (eV/atom): 0.038


Material: Tl2In12Ga7
Method: DFT, PBE
State: relaxed

POSCAR file:
```
Tl2In12Ga7
1.0
-3.004 -1.176 3.111
-8.488 -0.053 -8.216
6.143 -9.845 2.209
Tl In Ga
2 12 7
Direct
0.500 0.000 0.000 Tl
0.000 0.667 0.333 Tl
0.500 0.895 0.607 In
0.500 0.712 0.105 In
0.500 0.393 0.288 In
0.500 0.237 0.791 In
0.500 0.554 0.763 In
0.500 0.209 0.446 In
0.000 0.054 0.543 In
0.000 0.489 0.946 In
0.000 0.457 0.511 In
0.000 0.770 0.737 In
0.000 0.967 0.230 In
0.000 0.263 0.033 In
0.000 0.333 0.667 Ga
0.000 0.035 0.785 Ga
0.000 0.751 0.965 Ga
0.000 0.215 0.249 Ga
0.500 0.632 0.547 Ga
0.500 0.914 0.368 Ga
0.500 0.453 0.086 Ga
```

## Properties
SG: P-6, No. 174
ΔE_f (eV/atom): 0.040


Material: Tl2InGa
Method: DFT, PBE
State: relaxed

POSCAR file:
```
Tl2InGa
1.0
-1.307 2.155 2.369
-3.160 -1.285 -0.574
1.366 -6.223 6.413
Tl Ga In
2 1 1
Direct
0.000 0.000 0.769 Tl
0.000 0.000 0.231 Tl
0.500 0.500 0.000 Ga
0.500 0.500 0.500 In
```

## Properties
SG: P4/mmm, No. 123
E above lowest polymorph (eV/f.u.): 0.000
ΔE_f (eV/atom): 0.065


Material: TlInGa
Method: DFT, PBE
State: relaxed

POSCAR file:
```
TlInGa
1.0
4.246 0.787 0.967
0.057 4.318 0.967
0.057 0.068 4.425
Tl Ga In
1 1 1
Direct
0.793 0.793 0.793 Tl
0.116 0.116 0.116 Ga
0.421 0.421 0.421 In
```

## Properties
SG: R3m, No. 160
E above lowest polymorph (eV/f.u.): 0.340
ΔE_f (eV/atom): 0.131


Material: Tl7In4Ga
Method: DFT, PBE
State: relaxed

POSCAR file:
```
Tl7In4Ga
1.0
5.487 0.000 0.000
-2.744 4.752 0.000
0.000 0.000 13.257
Tl In Ga
7 4 1
Direct
0.000 0.000 0.000 Tl
0.667 0.333 0.583 Tl
0.333 0.667 0.417 Tl
0.667 0.333 0.843 Tl
0.333 0.667 0.157 Tl
0.000 0.000 0.261 Tl
0.000 0.000 0.739 Tl
0.667 0.333 0.095 In
0.333 0.667 0.905 In
0.667 0.333 0.339 In
0.333 0.667 0.661 In
0.000 0.000 0.500 Ga
```

## Properties
SG: P-3m1, No. 164
ΔE_f (eV/atom): 0.029


Material: TlInGa
Method: DFT, PBE
State: relaxed

POSCAR file:
```
TlInGa
1.0
4.010 0.000 0.000
0.000 4.124 0.045
0.001 1.907 9.636
Tl In Ga
2 2 2
Direct
0.724 0.887 0.207 Tl
0.224 0.479 0.019 Tl
0.724 0.096 0.797 In
0.224 0.273 0.430 In
0.724 0.724 0.524 Ga
0.224 0.646 0.702 Ga
```

## Properties
SG: Pm, No. 6
E above lowest polymorph (eV/f.u.): 0.061
ΔE_f (eV/atom): 0.039


Material: TlInGa
Method: DFT, PBE
State: relaxed

POSCAR file:
```
TlInGa
1.0
-0.605 -2.540 -2.277
2.863 -0.060 1.812
-5.174 -3.225 5.046
Tl In Ga
1 1 1
Direct
0.950 0.524 0.644 Tl
0.173 0.952 0.278 In
0.718 0.073 0.977 Ga
```

## Properties
SG: P1, No. 1
E above lowest polymorph (eV/f.u.): 0.157
ΔE_f (eV/atom): 0.070